# 1
DFT (PBE) results for an optimized crystal structure of Ca13Pd2.

Its formation energy is -0.211 eV per atom. The calculation puts the energy at -2.638 eV/atom. Its crystal system is triclinic.

The structure belongs to space group P-1 (No. 2); the cell edges are 6.827, 8.852 and 10.519 Å and the angles 65.35°, 84.17° and 82.48°. The distinct sites, in fractional coordinates, are Ca at (0.000, 0.000, 0.000), Ca at (0.074, 0.842, 0.691), Ca at (0.161, 0.687, 0.387), Ca at (0.230, 0.542, 0.074), Ca at (0.307, 0.387, 0.771), Ca at (0.388, 0.231, 0.456), Ca at (0.455, 0.080, 0.152) and Pd at (0.194, 0.116, 0.726).


# 2
DFT (PBE) results for an optimized crystal structure of CaPd5.

Its formation energy is -0.324 eV per atom. The calculation puts the energy at -4.985 eV/atom. Its crystal system is monoclinic.

The structure belongs to space group C2/m (No. 12); the cell edges are 4.972, 8.682 and 4.959 Å and the angles 90.00°, 109.81° and 90.00°. The distinct sites, in fractional coordinates, are Ca at (0.000, 0.000, 0.000), Pd at (0.000, 0.176, 0.500), Pd at (0.000, 0.335, 0.000) and Pd at (0.000, 0.500, 0.500).


# 3
DFT (PBE) results for an optimized crystal structure of CaPd2.

Its formation energy is -0.696 eV per atom. The calculation puts the energy at -4.825 eV/atom. Its crystal system is cubic.

The structure belongs to space group Fd-3m (No. 227, origin choice 2); the cell edges are 7.739, 7.739 and 7.739 Å and the angles 90.00°, 90.00° and 90.00°. The distinct sites, in fractional coordinates, are Ca at (0.125, 0.125, 0.125) and Pd at (0.000, 0.000, 0.500).


# 4
DFT (PBE) results for an optimized crystal structure of Ca4Pd.

Its formation energy is -0.044 eV per atom. The calculation puts the energy at -2.684 eV/atom. Its crystal system is cubic.

The structure belongs to space group Fd-3m (No. 227, origin choice 2); the cell edges are 11.623, 11.623 and 11.623 Å and the angles 90.00°, 90.00° and 90.00°. The distinct sites, in fractional coordinates, are Ca at (0.009, 0.009, 0.241) and Pd at (0.125, 0.125, 0.625).


# 5
DFT (PBE) results for an optimized crystal structure of CaPd4.

Its formation energy is -0.364 eV per atom. The calculation puts the energy at -4.918 eV/atom. Its crystal system is orthorhombic.

The structure belongs to space group Imma (No. 74); the cell edges are 4.445, 5.675 and 13.850 Å and the angles 90.00°, 90.00° and 90.00°. The distinct sites, in fractional coordinates, are Ca at (0.000, 0.250, 0.102), Pd at (0.000, 0.000, 0.500), Pd at (0.000, 0.012, 0.696) and Pd at (0.000, 0.250, 0.885).


# 6
DFT (PBE) results for an optimized crystal structure of Ca3Pd.

Its formation energy is -0.222 eV per atom. The calculation puts the energy at -3.021 eV/atom. Its crystal system is orthorhombic.

The structure belongs to space group Pmm2 (No. 25); the cell edges are 3.742, 3.813 and 9.662 Å and the angles 90.00°, 90.00° and 90.00°. The distinct sites, in fractional coordinates, are Ca at (0.000, 0.000, 0.000), Ca at (0.000, 0.500, 0.346), Ca at (0.500, 0.500, 0.696) and Pd at (0.500, 0.000, 0.473).